(1)
A plane-wave DFT calculation with PBE was carried out for a geometry-optimized PrLuZn4 structure.

a b c (Å): 7.7837 7.7837 7.7837
angles (deg): 90.00 90.00 90.00
Space group F-43m (No. 216)
One atom of each set of equivalent atoms:
Pr1 0.0000 0.0000 0.0000
Lu1 0.2500 0.2500 0.2500
Zn1 0.1246 0.1246 0.6246

Summary:
- Total DFT energy (no corrections): -0.1987 Ry/atom
- DOS(E_F): 5.78 states/eV/cell
- Calculated formation energy: -305 meV/atom

=====

(2)
A plane-wave DFT calculation with PBE was carried out for a geometry-optimized LaCu2Ir structure.

a b c (Å): 4.0813 4.0813 8.4383
angles (deg): 90.00 90.00 90.00
Space group I4/mmm (No. 139)
One atom of each set of equivalent atoms:
La1 0.0000 0.0000 0.0000
Cu1 0.0000 0.5000 0.2500
Ir1 0.0000 0.0000 0.5000

Summary:
- Total DFT energy (no corrections): -0.4166 Ry/atom
- E above lowest polymorph: 103 meV per atom
- DOS(E_F): 1.62 states/eV/cell
- Calculated formation energy: -173 meV/atom

=====

(3)
A plane-wave DFT calculation with PBE was carried out for a geometry-optimized NaTl3V structure.

a b c (Å): 5.4072 5.4072 5.4072
angles (deg): 90.00 90.00 90.00
Space group Pm-3m (No. 221)
One atom of each set of equivalent atoms:
Na1 0.0000 0.0000 0.0000
Tl1 0.0000 0.5000 0.5000
V1 0.5000 0.5000 0.5000

Summary:
- Total DFT energy (no corrections): -0.2347 Ry/atom
- E above lowest polymorph: 0 meV per atom
- DOS(E_F): 2.96 states/eV/cell
- Calculated formation energy: 314 meV/atom

=====

(4)
A plane-wave DFT calculation with PBE was carried out for a geometry-optimized NaHg3Pb7 structure.

a b c (Å): 6.9564 6.9564 8.0888
angles (deg): 90.00 90.00 120.00
Space group P3m1 (No. 156)
One atom of each set of equivalent atoms:
Na1 0.0000 0.0000 0.0000
Hg1 0.1619 0.3238 0.3183
Pb1 0.3333 0.6667 0.6507
Pb2 0.3391 0.1695 0.6470
Pb3 0.5018 0.0036 0.0021

Summary:
- Total DFT energy (no corrections): -0.1886 Ry/atom
- DOS(E_F): 4.85 states/eV/cell
- Calculated formation energy: -3 meV/atom

=====

Q: Number 3 is which compound?
A: NaTl3V

=====

Q: Which of these has the highest calculated formation energy?
A: NaTl3V

=====

Q: Among the records above, which one has the lowest total DFT energy (no corrections)?
A: LaCu2Ir